Material: LaCeBiPb
Method: DFT, PBE
State: relaxed

The structure belongs to space group F-43m (No. 216); the cell edges are 7.981, 7.981 and 7.981 Å and the angles 90.00°, 90.00° and 90.00°. Symmetry generates all atoms from La at (0.000, 0.000, 0.000), Ce at (0.000, 0.000, 0.500), Bi at (0.250, 0.250, 0.250) and Pb at (0.250, 0.250, 0.750).

As for the formation energy: -0.5370 eV/atom.

Material: Na2SmSnSe4
Method: DFT, PBE
State: relaxed

The structure belongs to space group P2/m (No. 10); the cell edges are 7.293, 4.157 and 7.429 Å and the angles 90.00°, 108.82° and 90.00°. Symmetry generates all atoms from Na at (0.000, 0.000, 0.000), Na at (0.500, 0.500, 0.000), Sm at (0.000, 0.500, 0.500), Sn at (0.500, 0.000, 0.500), Se at (0.249, 0.000, 0.732) and Se at (0.259, 0.500, 0.268).

The total energy is -4.340 eV per atom.

Material: PuTiPd2
Method: DFT, PBE
State: relaxed

The structure belongs to space group P4/mmm (No. 123); the cell edges are 4.455, 4.455 and 3.788 Å and the angles 90.00°, 90.00° and 90.00°. Symmetry generates all atoms from Pu at (0.000, 0.000, 0.000), Ti at (0.500, 0.500, 0.000) and Pd at (0.000, 0.500, 0.500).

As for the formation energy: -0.3288 eV/atom.

no.,total moment (μB/atom)
1,0.342
2,0.000
3,1.655